(1)
Computed, not measured: a geometry-optimized Pm4PdCBr2 structure at the GGA-PBE level of DFT.

Calculated values
Its total energy is -5.46 eV per atom. For the theoretical density, the calculation gives 6.9 g cm⁻³. For the calculated volume, the calculation gives 208 Å³ per cell.

Cell: 7.275 3.912 7.650 Å, 90.00 107.23 90.00°
Space group P2/m (No. 10)
Asymmetric unit:
Pm  0.203  0.000  0.190
Pm  0.235  0.500  0.806
Pd  0.500  0.000  0.000
C  0.000  0.500  0.000
Br  0.000  0.000  0.500
Br  0.500  0.500  0.500

(2)
Computed, not measured: a geometry-optimized Ca2ReTe structure at the GGA-PBE level of DFT.

Calculated values
Its total energy is -4.81 eV per atom. For the theoretical density, the calculation gives 6.5 g cm⁻³. For the calculated volume, the calculation gives 202 Å³ per cell.

Cell: 11.783 3.373 5.350 Å, 90.00 107.96 90.00°
Space group Cm (No. 8)
Asymmetric unit:
Ca  0.000  0.000  0.000
Ca  0.194  0.000  0.648
Re  0.246  0.500  0.175
Te  0.420  0.000  0.436

(3)
Computed, not measured: a geometry-optimized CoNiAgCl6 structure at the GGA-PBE level of DFT.

Calculated values
Its total energy is -3.50 eV per atom. For the theoretical density, the calculation gives 3.9 g cm⁻³. For the calculated volume, the calculation gives 375 Å³ per cell.

Cell: 6.0502 6.0502 11.8324 Å, 90.00 90.00 120.00°
Space group P-31c (No. 163)
Asymmetric unit:
Co  0.3333  0.6667  0.2500
Ni  0.3333  0.6667  0.7500
Ag  0.0000  0.0000  0.0000
Cl  0.0147  0.3706  0.1405

(4)
Computed, not measured: a geometry-optimized RbTlGeCl4 structure at the GGA-PBE level of DFT.

Calculated values
Its total energy is -3.39 eV per atom. For the theoretical density, the calculation gives 3.7 g cm⁻³. For the calculated volume, the calculation gives 453 Å³ per cell.

Cell: 5.263 5.263 16.344 Å, 90.00 90.00 90.00°
Space group I4mm (No. 107)
Asymmetric unit:
Rb  0.000  0.000  0.000
Tl  0.000  0.000  0.714
Ge  0.000  0.000  0.356
Cl  0.000  0.000  0.200
Cl  0.000  0.000  0.530
Cl  0.000  0.500  0.358

(5)
Computed, not measured: a geometry-optimized Pr4Sm3YS8 structure at the GGA-PBE level of DFT.

Calculated values
Its total energy is -6.56 eV per atom. For the theoretical density, the calculation gives 6.0 g cm⁻³. For the calculated volume, the calculation gives 1126 Å³ per cell.

Cell: 8.0651 8.0651 19.9847 Å, 90.00 90.00 120.00°
Space group R-3m (No. 166, hexagonal axes)
Asymmetric unit:
Pr  0.0000  0.0000  0.0000
Pr  0.0000  0.5000  0.0000
Sm  0.0000  0.5000  0.5000
Y  0.0000  0.0000  0.5000
S  0.0000  0.0000  0.2468
S  0.0045  0.5023  0.2458

(6)
Computed, not measured: a geometry-optimized Ba2LiHoRuO6 structure at the GGA-PBE level of DFT.

Calculated values
Its total energy is -6.66 eV per atom. For the theoretical density, the calculation gives 6.7 g cm⁻³. For the calculated volume, the calculation gives 479 Å³ per cell.

Cell: 5.8720 5.8720 16.0260 Å, 90.00 90.00 120.00°
Space group R3m (No. 160, hexagonal axes)
Asymmetric unit:
Ba  0.0000  0.0000  0.0000
Ba  0.0000  0.0000  0.4701
Li  0.0000  0.0000  0.8412
Ho  0.0000  0.0000  0.6897
Ru  0.0000  0.0000  0.2071
O  0.0155  0.5078  0.9475
O  0.1689  0.3379  0.7931

(7)
Computed, not measured: a geometry-optimized Cs2K2Ca structure at the GGA-PBE level of DFT.

Calculated values
Its total energy is -0.95 eV per atom. As for the formation energy: 22 kJ per mole of atoms. For the theoretical density, the calculation gives 1.5 g cm⁻³. For the calculated volume, the calculation gives 859 Å³ per cell.

Cell: 5.698 5.698 26.459 Å, 90.00 90.00 90.00°
Space group I4/mmm (No. 139)
Asymmetric unit:
Cs  0.000  0.000  0.095
K  0.000  0.500  0.250
Ca  0.000  0.000  0.500

(8)
Computed, not measured: a geometry-optimized BaInH2Os structure at the GGA-PBE level of DFT.

Calculated values
Its total energy is -3.23 eV per atom. For the theoretical density, the calculation gives 5.8 g cm⁻³. For the calculated volume, the calculation gives 127 Å³ per cell.

Cell: 4.090 4.090 7.601 Å, 90.00 90.00 90.00°
Space group P4/mmm (No. 123)
Asymmetric unit:
Ba  0.000  0.000  0.000
In  0.000  0.000  0.500
H  0.000  0.500  0.500
Os  0.500  0.500  0.000

(9)
Computed, not measured: a geometry-optimized Ce4Sn2Hg5 structure at the GGA-PBE level of DFT.

Calculated values
Its total energy is -3.34 eV per atom. As for the formation energy: -31 kJ per mole of atoms. For the theoretical density, the calculation gives 10.0 g cm⁻³. For the calculated volume, the calculation gives 300 Å³ per cell.

Cell: 8.359 3.483 10.383 Å, 90.00 97.28 90.00°
Space group P2/m (No. 10)
Asymmetric unit:
Ce  0.179  0.000  0.393
Ce  0.277  0.000  0.939
Sn  0.071  0.500  0.136
Hg  0.172  0.500  0.658
Hg  0.455  0.500  0.202
Hg  0.500  0.500  0.500

(10)
Computed, not measured: a geometry-optimized RbY2P2N6 structure at the GGA-PBE level of DFT.

Calculated values
Its total energy is -7.51 eV per atom. For the theoretical density, the calculation gives 3.4 g cm⁻³. For the calculated volume, the calculation gives 395 Å³ per cell.

Cell: 11.337 6.300 6.402 Å, 90.00 120.34 90.00°
Space group C2/m (No. 12)
Asymmetric unit:
Rb  0.000  0.000  0.000
Y  0.177  0.500  0.303
P  0.153  0.500  0.743
N  0.065  0.500  0.870
N  0.198  0.292  0.664

(11)
Computed, not measured: a geometry-optimized LaTb4Sc3 structure at the GGA-PBE level of DFT.

Calculated values
Its total energy is -5.17 eV per atom. As for the formation energy: 13 kJ per mole of atoms. For the theoretical density, the calculation gives 6.2 g cm⁻³. For the calculated volume, the calculation gives 242 Å³ per cell.

Cell: 3.396 8.641 8.643 Å, 94.50 101.29 101.16°
Space group P-1 (No. 2)
Asymmetric unit:
La  0.000  0.000  0.000
Tb  0.238  0.603  0.875
Tb  0.240  0.875  0.603
Sc  0.000  0.500  0.500
Sc  0.500  0.265  0.735

(12)
Computed, not measured: a geometry-optimized NaZnCd3 structure at the GGA-PBE level of DFT.

Calculated values
Its total energy is -1.10 eV per atom. As for the formation energy: -3 kJ per mole of atoms. For the theoretical density, the calculation gives 6.1 g cm⁻³. For the calculated volume, the calculation gives 460 Å³ per cell.

Cell: 6.210 13.945 5.314 Å, 90.00 90.00 90.00°
Space group Cmcm (No. 63)
Asymmetric unit:
Na  0.000  0.081  0.250
Zn  0.000  0.500  0.000
Cd  0.000  0.324  0.750
Cd  0.248  0.149  0.750